<1>
VASP calculation (GGA-PBE) on a geometry-optimized Pu2BiS structure.

Properties
- spin magnetization (μB/atom) = 2.871

Cell lengths 4.020, 4.020, 8.195 Å; angles 75.80, 75.80, 60.00 degrees
Site moments in Bohr magnetons follow the coordinates.
Element x y z (fractional)
Pu  0.095  0.095  0.716  5.46
Pu  0.240  0.240  0.281  5.50
Bi  0.668  0.668  0.996  -0.16
S  0.498  0.498  0.506  -0.12

=====

<2>
VASP calculation (GGA-PBE) on a geometry-optimized Pu2BiS structure.

Properties
- spin magnetization (μB/atom) = 2.749

Cell lengths 4.251, 4.251, 7.371 Å; angles 73.24, 73.24, 60.00 degrees
Site moments in Bohr magnetons follow the coordinates.
Element x y z (fractional)
S  0.500  0.500  0.500  -0.13
Bi  0.000  0.000  0.000  -0.22
Pu  0.764  0.764  0.709  5.35
Pu  0.236  0.236  0.291  5.35

=====

Which one sits at the bottom of the stability order? <1> does.